Entry 1:
TlInIrO6 (GGA-PBE, relaxed); formation energy without anion corrections = -0.806 eV per atom
1.0
5.497 0.000 0.000
-2.748 4.760 0.000
0.000 0.000 9.213
Tl In Ir O
2 2 2 12
Cartesian
0.000 0.000 0.000
0.000 0.000 4.606
0.000 3.174 2.303
2.748 1.587 6.909
0.000 3.174 6.909
2.748 1.587 2.303
-0.877 1.817 5.822
-1.613 3.092 7.997
0.877 1.817 7.997
-0.736 4.611 5.822
2.012 0.149 1.216
1.135 1.668 3.391
1.613 3.092 5.822
0.736 4.611 7.997
3.484 0.149 3.391
1.871 2.943 1.216
4.361 1.668 1.216
3.625 2.943 3.391

Entry 2:
Cu3WN (GGA-PBE, relaxed); formation energy without anion corrections = 2.810 eV per atom
1.0
4.674 0.000 0.000
0.000 4.674 0.000
0.000 0.000 4.674
Cu W N
3 1 1
Cartesian
0.000 0.000 2.337
0.000 2.337 0.000
2.337 0.000 0.000
0.000 0.000 0.000
2.337 2.337 2.337

Entry 3:
HfTlOs (GGA-PBE, relaxed); formation energy from the elements = -1 kJ/mol of formula units
1.0
3.271 0.000 0.000
-0.002 4.048 0.000
-1.474 -1.018 10.677
Hf Tl Os
2 2 2
Cartesian
0.079 0.503 4.389
1.716 2.527 6.289
0.103 3.064 1.231
1.693 -0.034 9.446
0.083 0.493 7.086
1.713 2.538 3.591

Entry 4:
LiAlPt (GGA-PBE, relaxed); formation energy from the elements = -216 kJ/mol of formula units
1.0
4.188 0.000 0.000
-2.094 3.627 0.000
0.000 0.000 2.747
Li Al Pt
1 1 1
Cartesian
0.000 0.000 0.000
2.094 1.209 1.915
0.000 2.418 0.954

Entry 5:
Na2SrCaPd (GGA-PBE, relaxed); formation energy from the elements = -23 kJ/mol of formula units
1.0
5.748 0.000 0.000
0.000 5.748 0.000
0.000 0.000 5.459
Na Sr Ca Pd
2 1 1 1
Cartesian
0.000 2.874 0.000
2.874 0.000 0.000
0.000 0.000 2.730
2.874 2.874 2.730
2.874 2.874 0.000

Entry 6:
MnGa2Ir2 (GGA-PBE, relaxed); formation energy from the elements = -122 kJ/mol of formula units
1.0
7.212 0.000 0.000
0.000 7.212 0.000
0.000 0.000 2.949
Mn Ga Ir
2 4 4
Cartesian
0.000 0.000 0.000
3.606 3.606 0.000
1.105 2.501 1.474
2.501 6.106 1.474
4.711 1.105 1.474
6.106 4.711 1.474
1.052 4.658 0.000
2.554 1.052 0.000
4.658 6.160 0.000
6.160 2.554 0.000

Entry 7:
Tb2PmScSb4 (GGA-PBE, relaxed); formation energy without anion corrections = -1.083 eV per atom
1.0
7.567 0.000 0.000
0.000 4.376 0.000
-2.528 0.000 7.142
Tb Pm Sc Sb
2 1 1 4
Cartesian
0.000 0.000 0.000
3.784 2.188 0.000
-1.264 2.188 3.571
2.519 0.000 3.571
0.068 0.000 5.348
1.332 2.188 1.845
3.707 2.188 5.296
4.971 0.000 1.794

Entry 8:
BaY2P (GGA-PBE, relaxed); formation energy from the elements = -265 kJ/mol of formula units
1.0
1.990 1.149 10.069
-1.990 1.149 10.069
0.000 -2.298 10.069
Ba Y P
1 2 1
Cartesian
0.000 0.000 0.000
0.000 0.000 6.578
0.000 0.000 23.630
0.000 0.000 15.104

Entry 9:
SnHgBr2 (GGA-PBE, relaxed); formation energy without anion corrections = -0.308 eV per atom
1.0
0.000 3.862 3.862
3.862 0.000 3.862
3.862 3.862 0.000
Sn Hg Br
1 1 2
Cartesian
0.000 0.000 0.000
3.862 3.862 3.862
1.931 1.931 1.931
5.793 5.793 5.793

Entry 10:
La3Pm3In2Ga (GGA-PBE, relaxed); formation energy from the elements = -300 kJ/mol of formula units
1.0
9.164 0.000 0.000
-4.582 7.936 0.000
0.000 0.000 3.848
La Pm In Ga
3 3 2 1
Cartesian
-3.348 5.799 0.000
1.234 2.137 0.000
6.696 0.000 0.000
-1.792 3.104 1.924
3.584 0.000 1.924
2.790 4.832 1.924
0.000 5.291 0.000
4.582 2.645 0.000
0.000 0.000 1.924

Entry 11:
Ba2TeP2O9 (GGA-PBE, relaxed); formation energy without anion corrections = -2.404 eV per atom
1.0
7.063 0.000 0.000
1.930 7.273 0.000
1.596 1.705 8.759
Ba Te P O
4 2 4 18
Cartesian
1.829 3.198 2.127
4.826 6.567 3.653
5.762 2.411 5.106
8.759 5.780 6.632
5.760 8.074 8.357
4.829 0.904 0.402
2.229 1.976 5.668
4.983 5.182 7.163
5.606 3.796 1.596
8.360 7.002 3.091
2.190 5.751 3.030
3.363 7.955 5.899
3.938 5.478 8.229
3.392 2.105 6.795
3.033 1.930 4.335
4.403 4.939 5.763
2.963 0.695 0.890
4.681 5.019 1.262
5.985 6.435 7.058
4.603 2.543 1.701
5.907 3.959 7.497
7.625 8.283 7.869
6.186 4.039 2.996
7.556 7.048 4.424
7.196 6.873 1.964
6.651 3.500 0.530
7.225 1.023 2.860
8.398 3.227 5.729

Entry 12:
Ho3Sc5S8 (GGA-PBE, relaxed); formation energy without anion corrections = -1.894 eV per atom
1.0
3.771 2.177 6.143
-3.771 2.177 6.143
0.000 -4.355 6.143
Ho Sc S
3 5 8
Cartesian
-1.886 -1.089 6.143
-1.886 1.089 12.287
0.000 2.177 6.143
0.000 0.000 0.000
-3.771 0.000 9.215
-1.886 1.089 3.072
1.886 1.089 3.072
0.000 0.000 9.215
-1.922 -1.110 10.691
0.000 0.000 4.518
0.000 -2.220 7.739
-1.922 1.110 7.739
1.923 -1.110 10.691
0.000 2.220 10.691
0.000 0.000 13.912
1.923 1.110 7.739